Record 1
# SCAN BeNbW3, PBEsol geometry
# VASP energy = -232.75 eV for the cell shown
# total moment = 0.0 μB/f.u.
# formation enthalpy at 0 K = 2.760 eV/atom
# calculated density = 10.39 g cm⁻³
data_BeNbW3
_symmetry_space_group_name_H-M 'P m -3 m'
_symmetry_Int_Tables_number 221
_symmetry_space_group_name_Hall '-P 4 2 3'
_cell_length_a 4.7089
_cell_length_b 4.7089
_cell_length_c 4.7089
_cell_angle_alpha 90.00
_cell_angle_beta 90.00
_cell_angle_gamma 90.00
loop_
_atom_site_label
_atom_site_fract_x
_atom_site_fract_y
_atom_site_fract_z
Be1 0.0000 0.0000 0.0000
Nb1 0.5000 0.5000 0.5000
W1 0.0000 0.5000 0.5000

=====

Record 2
# SCAN CrCdSe2, PBEsol geometry
# ΔE_f (raw) = -0.598 eV per atom
# VASP energy = -91.35 eV for the cell shown
# total moment = 4.0 μB/f.u.
# calculated density = 6.57 g cm⁻³
data_CrCdSe2
_symmetry_space_group_name_H-M 'P 4/m m m'
_symmetry_Int_Tables_number 123
_symmetry_space_group_name_Hall '-P 4 2'
_cell_length_a 3.8513
_cell_length_b 3.8513
_cell_length_c 5.4914
_cell_angle_alpha 90.00
_cell_angle_beta 90.00
_cell_angle_gamma 90.00
loop_
_atom_site_label
_atom_site_fract_x
_atom_site_fract_y
_atom_site_fract_z
Cr1 0.0000 0.0000 0.0000
Cd1 0.5000 0.5000 0.5000
Se1 0.0000 0.0000 0.5000
Se2 0.5000 0.5000 0.0000